(1)
DFT (meta-GGA SCAN) results for a PBEsol-optimized structure of LiAsOs2.

calculated formation energy: 0.27 eV per atom
size of the total moment: 0.00 μB per cell
E: -41.319 eV/atom
calculated density: 14.5 g/cm³
space group: Imm2, No. 44

Structure (extended XYZ):
```
4
Lattice="-1.514 2.060 4.250 1.514 -2.060 4.250 1.514 2.060 -4.250" Properties=species:S:1:pos:R:3 pbc="T T T"
Li 0.000 0.000 0.000
As 1.514 0.000 2.101
Os 0.000 0.000 4.119
Os 0.000 2.060 2.062
```

(2)
DFT (meta-GGA SCAN) results for a PBEsol-optimized structure of BeTe3W.

size of the total moment: 0.00 μB per cell
E: -36.002 eV/atom
calculated density: 6.6 g/cm³
space group: Pm-3m, No. 221

Structure (extended XYZ):
```
5
Lattice="5.251 0.000 0.000 0.000 5.251 0.000 0.000 0.000 5.251" Properties=species:S:1:pos:R:3 pbc="T T T"
Be 0.000 0.000 0.000
Te 0.000 2.625 2.625
Te 2.625 0.000 2.625
Te 2.625 2.625 0.000
W 2.625 2.625 2.625
```

(3)
DFT (meta-GGA SCAN) results for a PBEsol-optimized structure of CaWSe.

size of the total moment: 0.00 μB per cell
E: -33.103 eV/atom
calculated density: 8.5 g/cm³
space group: I4mm, No. 107

Structure (extended XYZ):
```
3
Lattice="-1.631 1.631 5.570 1.631 -1.631 5.570 1.631 1.631 -5.570" Properties=species:S:1:pos:R:3 pbc="T T T"
Ca 0.000 0.000 0.000
W 0.000 0.000 7.804
Se 0.000 0.000 3.353
```

(4)
DFT (meta-GGA SCAN) results for a PBEsol-optimized structure of AlCo2ReTc.

calculated formation energy: 1.57 eV per atom
size of the total moment: 4.52 μB per cell
E: -28.136 eV/atom
calculated density: 8.4 g/cm³
space group: P4/mmm, No. 123

Structure (extended XYZ):
```
5
Lattice="4.304 0.000 0.000 0.000 4.304 0.000 0.000 0.000 4.595" Properties=species:S:1:pos:R:3 pbc="T T T"
Al 0.000 0.000 0.000
Co 0.000 2.152 2.298
Co 2.152 0.000 2.298
Re 0.000 0.000 2.298
Tc 2.152 2.152 0.000
```

(5)
DFT (meta-GGA SCAN) results for a PBEsol-optimized structure of BeTe2O.

size of the total moment: 0.00 μB per cell
E: -21.304 eV/atom
calculated density: 5.3 g/cm³
space group: R-3m, No. 166

Structure (extended XYZ):
```
4
Lattice="1.957 1.130 6.612 -1.957 1.130 6.612 0.000 -2.260 6.612" Properties=species:S:1:pos:R:3 pbc="T T T"
Be 0.000 0.000 0.000
Te 0.000 0.000 7.909
Te 0.000 0.000 11.925
O 0.000 0.000 9.917
```

(6)
DFT (meta-GGA SCAN) results for a PBEsol-optimized structure of CrPbSeN2.

size of the total moment: 6.88 μB per cell
E: -24.998 eV/atom
calculated density: 5.9 g/cm³
space group: P4/mmm, No. 123

Structure (extended XYZ):
```
5
Lattice="4.198 0.000 0.000 0.000 4.198 0.000 0.000 0.000 5.811" Properties=species:S:1:pos:R:3 pbc="T T T"
Cr 0.000 0.000 0.000
Pb 2.099 2.099 2.905
Se 2.099 2.099 0.000
N 0.000 2.099 2.905
N 2.099 0.000 2.905
```

(7)
DFT (meta-GGA SCAN) results for a PBEsol-optimized structure of ScTl2GaOs.

calculated formation energy: 0.90 eV per atom
size of the total moment: 0.00 μB per cell
E: -48.536 eV/atom
calculated density: 10.0 g/cm³
space group: P4/mmm, No. 123

Structure (extended XYZ):
```
5
Lattice="5.041 0.000 0.000 0.000 5.041 0.000 0.000 0.000 4.652" Properties=species:S:1:pos:R:3 pbc="T T T"
Sc 0.000 0.000 0.000
Tl 0.000 2.520 2.326
Tl 2.520 0.000 2.326
Ga 2.520 2.520 2.326
Os 2.520 2.520 0.000
```

(8)
DFT (meta-GGA SCAN) results for a PBEsol-optimized structure of LiCo2Ge.

calculated formation energy: 0.25 eV per atom
size of the total moment: 6.01 μB per cell
E: -13.772 eV/atom
calculated density: 6.6 g/cm³
space group: I-42d, No. 122

Structure (extended XYZ):
```
8
Lattice="-3.185 3.185 2.431 3.185 -3.185 2.431 3.185 3.185 -2.431" Properties=species:S:1:pos:R:3 pbc="T T T"
Li 0.000 0.000 0.000
Li 0.000 3.185 1.216
Co 1.592 -1.518 1.824
Co 1.667 1.592 0.608
Co 1.592 4.703 -0.608
Co 1.518 1.592 3.039
Ge 3.185 0.000 1.216
Ge 0.000 0.000 2.431
```

(9)
DFT (meta-GGA SCAN) results for a PBEsol-optimized structure of KC2.

calculated formation energy: 0.43 eV per atom
size of the total moment: 0.00 μB per cell
E: -9.076 eV/atom
calculated density: 2.5 g/cm³
space group: Cmmm, No. 65

Structure (extended XYZ):
```
3
Lattice="1.327 -4.049 0.000 1.327 4.049 0.000 0.000 0.000 3.870" Properties=species:S:1:pos:R:3 pbc="T T T"
K 0.000 0.000 0.000
C 1.327 1.895 1.935
C 1.327 -1.895 1.935
```

(10)
DFT (meta-GGA SCAN) results for a PBEsol-optimized structure of LaZnSi2Ge.

size of the total moment: 0.00 μB per cell
E: -18.909 eV/atom
calculated density: 5.0 g/cm³
space group: P4/mmm, No. 123

Structure (extended XYZ):
```
5
Lattice="4.825 0.000 0.000 0.000 4.825 0.000 0.000 0.000 4.718" Properties=species:S:1:pos:R:3 pbc="T T T"
La 0.000 0.000 0.000
Zn 2.413 2.413 0.000
Si 0.000 2.413 2.359
Si 2.413 0.000 2.359
Ge 2.413 2.413 2.359
```

(11)
DFT (meta-GGA SCAN) results for a PBEsol-optimized structure of MoBr3.

size of the total moment: 2.66 μB per cell
E: -23.679 eV/atom
calculated density: 4.9 g/cm³
space group: Imm2, No. 44

Structure (extended XYZ):
```
4
Lattice="-1.645 5.264 3.253 1.645 -5.264 3.253 1.645 5.264 -3.253" Properties=species:S:1:pos:R:3 pbc="T T T"
Mo 0.000 0.000 0.000
Br 1.645 1.713 0.990
Br 0.000 5.264 1.275
Br 0.000 3.551 4.243
```

(12)
DFT (meta-GGA SCAN) results for a PBEsol-optimized structure of Bi2Te2H.

size of the total moment: 0.89 μB per cell
E: -46.412 eV/atom
calculated density: 7.0 g/cm³
space group: I4/mmm, No. 139

Structure (extended XYZ):
```
5
Lattice="-2.290 2.290 7.623 2.290 -2.290 7.623 2.290 2.290 -7.623" Properties=species:S:1:pos:R:3 pbc="T T T"
Bi 2.290 0.000 3.812
Bi 0.000 2.290 3.812
Te 0.000 0.000 1.403
Te 0.000 0.000 13.844
H 0.000 0.000 7.623
```